[1]
Crystalline CeSc at its relaxed geometry, computed with PBE.

Values from the calculation:
The formation energy is 149 meV per atom. The calculation puts the relative energy among the computed polymorphs at 126 meV/atom. The density of states at the Fermi level is 5.55 states/eV/f.u.

CIF file:
```
data_CeSc
_chemical_formula_sum 'Ce1 Sc1'
_cell_length_a 3.8041
_cell_length_b 3.8041
_cell_length_c 3.8041
_cell_angle_alpha 90.00
_cell_angle_beta 90.00
_cell_angle_gamma 90.00
_symmetry_space_group_name_H-M 'P m -3 m'
_symmetry_Int_Tables_number 221
_symmetry_space_group_name_Hall '-P 4 2 3'
loop_
_atom_site_label
_atom_site_type_symbol
_atom_site_fract_x
_atom_site_fract_y
_atom_site_fract_z
_atom_site_occupancy
Ce1 Ce 0.0000 0.0000 0.0000 1
Sc1 Sc 0.5000 0.5000 0.5000 1
```



[2]
Crystalline Cd2P4PdO8 at its relaxed geometry, computed with PBE.

Values from the calculation:
The calculation puts the formation energy from raw total energies at -1368.0 meV/atom. The density of states at the Fermi level is 0.00 states/eV/f.u.

CIF file:
```
data_Cd2P4PdO8
_chemical_formula_sum 'Cd16 P32 Pd8 O64'
_cell_length_a 12.2385
_cell_length_b 12.2895
_cell_length_c 21.6634
_cell_angle_alpha 90.00
_cell_angle_beta 90.00
_cell_angle_gamma 90.00
_symmetry_space_group_name_H-M 'F d d d'
_symmetry_Int_Tables_number 70
loop_
_symmetry_equiv_pos_as_xyz
'x,y,z'
'-x,-y,-z'
'-x+1/4,-y+1/4,z'
'x+1/4,y+1/4,-z'
'x,-y+1/4,-z+1/4'
'-x,y+1/4,z+1/4'
'-x+1/4,y,-z+1/4'
'x+1/4,-y,z+1/4'
'x,y+1/2,z+1/2'
'-x,-y+1/2,-z+1/2'
'-x+1/4,-y+3/4,z+1/2'
'x+1/4,y+3/4,-z+1/2'
'x,-y+3/4,-z+3/4'
'-x,y+3/4,z+3/4'
'-x+1/4,y+1/2,-z+3/4'
'x+1/4,-y+1/2,z+3/4'
'x+1/2,y,z+1/2'
'-x+1/2,-y,-z+1/2'
'-x+3/4,-y+1/4,z+1/2'
'x+3/4,y+1/4,-z+1/2'
'x+1/2,-y+1/4,-z+3/4'
'-x+1/2,y+1/4,z+3/4'
'-x+3/4,y,-z+3/4'
'x+3/4,-y,z+3/4'
'x+1/2,y+1/2,z'
'-x+1/2,-y+1/2,-z'
'-x+3/4,-y+3/4,z'
'x+3/4,y+3/4,-z'
'x+1/2,-y+3/4,-z+1/4'
'-x+1/2,y+3/4,z+1/4'
'-x+3/4,y+1/2,-z+1/4'
'x+3/4,-y+1/2,z+1/4'
loop_
_atom_site_label
_atom_site_type_symbol
_atom_site_fract_x
_atom_site_fract_y
_atom_site_fract_z
_atom_site_occupancy
Cd1 Cd 0.0000 0.0000 0.0000 1
P1 P 0.0081 0.0120 0.6779 1
Pd1 Pd 0.1250 0.1250 0.6250 1
O1 O 0.0320 0.3573 0.5595 1
O2 O 0.1027 0.3023 0.9502 1
```



[3]
Crystalline BeSi2W at its relaxed geometry, computed with PBE.

Values from the calculation:
The calculation puts the formation energy from raw total energies at 334.6 meV/atom. The density of states at the Fermi level is 1.94 states/eV/f.u.

CIF file:
```
data_BeSi2W
_chemical_formula_sum 'Be1 Si2 W1'
_cell_length_a 2.6609
_cell_length_b 2.6609
_cell_length_c 7.4710
_cell_angle_alpha 90.00
_cell_angle_beta 90.00
_cell_angle_gamma 90.00
_symmetry_space_group_name_H-M 'P 4 m m'
_symmetry_Int_Tables_number 99
loop_
_symmetry_equiv_pos_as_xyz
'x,y,z'
'-y,x,z'
'-x,-y,z'
'y,-x,z'
'-x,y,z'
'y,x,z'
'x,-y,z'
'-y,-x,z'
loop_
_atom_site_label
_atom_site_type_symbol
_atom_site_fract_x
_atom_site_fract_y
_atom_site_fract_z
_atom_site_occupancy
Be1 Be 0.0000 0.0000 0.0000 1
Si1 Si 0.0000 0.0000 0.4878 1
Si2 Si 0.5000 0.5000 0.2126 1
W1 W 0.5000 0.5000 0.7605 1
```



[4]
Crystalline Ce4IrOsI2 at its relaxed geometry, computed with PBE.

Values from the calculation:
The calculation puts the formation energy from raw total energies at -771.3 meV/atom. The density of states at the Fermi level is 21.69 states/eV/f.u.

CIF file:
```
data_Ce4IrOsI2
_chemical_formula_sum 'Ce4 Ir1 Os1 I2'
_cell_length_a 7.1891
_cell_length_b 4.1448
_cell_length_c 8.3090
_cell_angle_alpha 90.00
_cell_angle_beta 106.75
_cell_angle_gamma 90.00
_symmetry_space_group_name_H-M 'P 1 2/m 1'
_symmetry_Int_Tables_number 10
loop_
_symmetry_equiv_pos_as_xyz
'x,y,z'
'-x,-y,-z'
'-x,y,-z'
'x,-y,z'
loop_
_atom_site_label
_atom_site_type_symbol
_atom_site_fract_x
_atom_site_fract_y
_atom_site_fract_z
_atom_site_occupancy
Ce1 Ce 0.2242 0.0000 0.1847 1
Ce2 Ce 0.2684 0.5000 0.8156 1
Ir1 Ir 0.5000 0.0000 0.0000 1
Os1 Os 0.0000 0.5000 0.0000 1
I1 I 0.0000 0.0000 0.5000 1
I2 I 0.5000 0.5000 0.5000 1
```



[5]
Crystalline Pm3I3N at its relaxed geometry, computed with PBE.

Values from the calculation:
The calculation puts the formation energy from raw total energies at -1275.0 meV/atom. The density of states at the Fermi level is 2.01 states/eV/f.u.

CIF file:
```
data_Pm3I3N
_chemical_formula_sum 'Pm6 I6 N2'
_cell_length_a 8.8309
_cell_length_b 3.9515
_cell_length_c 12.1912
_cell_angle_alpha 90.00
_cell_angle_beta 92.24
_cell_angle_gamma 90.00
_symmetry_space_group_name_H-M 'P 1 21/m 1'
_symmetry_Int_Tables_number 11
loop_
_symmetry_equiv_pos_as_xyz
'x,y,z'
'-x,-y,-z'
'-x,y+1/2,-z'
'x,-y+1/2,z'
loop_
_atom_site_label
_atom_site_type_symbol
_atom_site_fract_x
_atom_site_fract_y
_atom_site_fract_z
_atom_site_occupancy
Pm1 Pm 0.0818 0.2500 0.4047 1
Pm2 Pm 0.1141 0.2500 0.8067 1
Pm3 Pm 0.2958 0.7500 0.6144 1
I1 I 0.1440 0.2500 0.1301 1
I2 I 0.3777 0.7500 0.8697 1
I3 I 0.3846 0.7500 0.3665 1
N1 N 0.1116 0.2500 0.6090 1
```



[6]
Crystalline Y3TaAg3S8 at its relaxed geometry, computed with PBE.

Values from the calculation:
The calculation puts the formation energy from raw total energies at -1163.0 meV/atom. The density of states at the Fermi level is 4.70 states/eV/f.u.

CIF file:
```
data_Y3TaAg3S8
_chemical_formula_sum 'Y6 Ta2 Ag6 S16'
_cell_length_a 13.4984
_cell_length_b 7.7941
_cell_length_c 7.8832
_cell_angle_alpha 90.00
_cell_angle_beta 125.12
_cell_angle_gamma 90.00
_symmetry_space_group_name_H-M 'C 1 2/m 1'
_symmetry_Int_Tables_number 12
loop_
_symmetry_equiv_pos_as_xyz
'x,y,z'
'-x,-y,-z'
'-x,y,-z'
'x,-y,z'
'x+1/2,y+1/2,z'
'-x+1/2,-y+1/2,-z'
'-x+1/2,y+1/2,-z'
'x+1/2,-y+1/2,z'
loop_
_atom_site_label
_atom_site_type_symbol
_atom_site_fract_x
_atom_site_fract_y
_atom_site_fract_z
_atom_site_occupancy
Y1 Y 0.0000 0.0000 0.0000 1
Y2 Y 0.2500 0.2500 0.0000 1
Ta1 Ta 0.0000 0.5000 0.0000 1
Ag1 Ag 0.0000 0.5000 0.5000 1
Ag2 Ag 0.2500 0.2500 0.5000 1
S1 S 0.0013 0.2703 0.7758 1
S2 S 0.2284 0.5000 0.2240 1
S3 S 0.2474 0.0000 0.2403 1
```